Record 1
Computed, not measured: a geometry-optimized Ba3AlCo structure at the GGA-PBE level of DFT.

```
5
Lattice="5.796 0.000 0.000 0.000 5.796 0.000 0.000 0.000 5.796" Properties=species:S:1:pos:R:3 pbc="T T T"
Co 0.000 0.000 0.000
Ba 0.000 2.898 0.000
Ba 0.000 0.000 2.898
Ba 2.898 0.000 0.000
Al 2.898 2.898 2.898
```

## Properties
**Final energy**: -15.0 eV for the cell shown
**Excess energy over the best structure of this formula in the dataset**: 0.0 meV/atom

Record 2
Computed, not measured: a geometry-optimized BaAcEuLu structure at the GGA-PBE level of DFT.

```
4
Lattice="6.230 0.000 0.000 3.115 5.396 0.000 3.115 1.799 5.087" Properties=species:S:1:pos:R:3 pbc="T T T"
Eu 9.345 5.396 3.815
Ac 3.115 1.799 1.272
Lu 0.000 0.000 0.000
Ba 6.230 3.597 2.543
```

## Properties
**Final energy**: -20.0 eV for the cell shown

Record 3
Computed, not measured: a geometry-optimized K3Y2NpTe6 structure at the GGA-PBE level of DFT.

```
12
Lattice="7.846 -0.007 -0.002 -3.927 6.793 -0.002 -1.309 -2.267 8.238" Properties=species:S:1:pos:R:3 pbc="T T T"
K -2.629 4.532 4.117
K 5.239 -0.012 4.117
K 1.305 2.260 4.117
Y -0.008 4.530 -0.002
Y 3.928 2.257 -0.002
Np 0.000 0.000 0.000
Te 3.940 2.228 6.507
Te 2.597 4.497 1.723
Te -1.330 2.291 1.727
Te -0.039 4.526 6.507
Te 0.013 0.023 6.511
Te 2.649 -0.007 1.727
```

## Properties
**Uncorrected formation energy**: -1.23 eV per atom
**Final energy**: -62.8 eV for the cell shown

Record 4
Computed, not measured: a geometry-optimized PmGa8Co2 structure at the GGA-PBE level of DFT.

```
11
Lattice="5.654 0.000 0.000 0.000 5.654 0.000 0.000 0.000 7.528" Properties=species:S:1:pos:R:3 pbc="T T T"
Pm 2.827 2.827 3.764
Ga 4.261 4.261 1.398
Ga 4.261 1.393 6.131
Ga 4.261 4.261 6.131
Ga 4.261 1.393 1.398
Ga 1.393 4.261 1.398
Ga 1.393 4.261 6.131
Ga 1.393 1.393 1.398
Ga 1.393 1.393 6.131
Co 2.827 0.000 0.000
Co 0.000 2.827 0.000
```

## Properties
**Final energy**: -43.0 eV for the cell shown

Record 5
Computed, not measured: a geometry-optimized Pt2PbCl structure at the GGA-PBE level of DFT.

```
4
Lattice="5.250 0.001 0.000 1.826 4.922 0.000 -3.538 -2.461 2.998" Properties=species:S:1:pos:R:3 pbc="T T T"
Cl 0.913 2.461 1.499
Pb 2.625 0.000 1.499
Pt 0.000 0.000 0.000
Pt 3.538 2.461 0.000
```

## Properties
**Uncorrected formation energy**: 0.26 eV per atom
**Final energy**: -16.6 eV for the cell shown
**Excess energy over the best structure of this formula in the dataset**: 349.2 meV/atom

Record 6
Computed, not measured: a geometry-optimized MgTa2Cl structure at the GGA-PBE level of DFT.

```
4
Lattice="5.514 -0.021 0.000 -2.821 4.737 0.000 0.000 0.000 2.925" Properties=species:S:1:pos:R:3 pbc="T T T"
Cl 2.757 -0.011 1.463
Mg -1.410 2.369 1.463
Ta 0.000 0.000 0.000
Ta 1.346 2.358 0.000
```

## Properties
**Uncorrected formation energy**: 0.65 eV per atom
**Final energy**: -24.6 eV for the cell shown
**Excess energy over the best structure of this formula in the dataset**: 709.0 meV/atom

Record 7
Computed, not measured: a geometry-optimized LiCaW2 structure at the GGA-PBE level of DFT.

```
4
Lattice="3.104 0.000 0.000 0.000 4.461 0.000 0.000 0.000 5.287" Properties=species:S:1:pos:R:3 pbc="T T T"
Ca 1.552 0.000 2.643
Li 0.000 2.231 2.643
W 0.000 0.000 0.000
W 1.552 2.231 0.000
```

## Properties
**Final energy**: -27.1 eV for the cell shown
**Excess energy over the best structure of this formula in the dataset**: 167.7 meV/atom

Record 8
Computed, not measured: a geometry-optimized ScPaTi2O8 structure at the GGA-PBE level of DFT.

```
12
Lattice="5.083 0.000 0.000 0.000 5.083 0.000 -2.542 -2.542 5.362" Properties=species:S:1:pos:R:3 pbc="T T T"
Sc 2.542 0.000 2.681
Pa 0.000 0.000 0.000
Ti 2.542 2.542 0.000
Ti 0.000 2.542 2.681
O 3.444 3.871 0.943
O 1.639 1.212 0.943
O 1.318 1.602 3.609
O -1.318 -1.602 3.609
O 4.144 1.224 1.753
O 0.939 3.859 1.753
O -1.330 0.903 4.419
O 1.330 -0.903 4.419
```

## Properties
**Uncorrected formation energy**: -3.27 eV per atom
**Final energy**: -110.6 eV for the cell shown

Record 9
Computed, not measured: a geometry-optimized Ba2CdTe3 structure at the GGA-PBE level of DFT.

```
24
Lattice="-3.903 -2.805 -0.277 4.336 -5.314 -7.278 7.619 -11.905 13.231" Properties=species:S:1:pos:R:3 pbc="T T T"
Ba 4.216 -8.442 5.192
Ba 3.837 -11.582 0.484
Ba 9.628 -16.169 7.187
Ba -1.576 -3.855 -1.511
Ba 3.048 -6.366 0.606
Ba 5.004 -13.658 5.070
Ba 4.675 -8.177 -3.974
Ba 3.378 -11.847 9.650
Cd 0.413 -7.132 3.660
Cd 7.210 -12.952 8.675
Cd 0.842 -7.072 -2.998
Cd 7.640 -12.892 2.016
Te 6.587 -12.353 11.389
Te 1.466 -7.672 -5.713
Te 6.039 -10.766 3.034
Te 2.013 -9.258 2.642
Te 6.382 -10.754 -1.926
Te 6.174 -15.577 8.019
Te 1.879 -4.448 -2.343
Te 1.671 -9.271 7.602
Te -0.415 -5.748 1.308
Te 8.468 -14.277 4.369
Te 2.206 -9.113 -1.545
Te 5.847 -10.911 7.221
```

## Properties
**Uncorrected formation energy**: -1.33 eV per atom
**Final energy**: -88.6 eV for the cell shown

Record 10
Computed, not measured: a geometry-optimized Pr6S5N structure at the GGA-PBE level of DFT.

```
12
Lattice="6.887 -0.672 -1.229 -4.513 6.455 -1.887 0.019 -0.462 6.986" Properties=species:S:1:pos:R:3 pbc="T T T"
Pr -0.659 2.232 1.233
Pr -3.112 5.717 0.218
Pr 2.147 1.187 -1.008
Pr 0.227 4.596 -2.108
Pr 5.505 -0.396 3.651
Pr 3.052 3.089 2.637
S -1.465 4.821 2.617
S 1.589 3.702 0.252
S -2.256 3.228 -0.943
S 0.804 1.620 3.618
S 3.859 0.500 1.253
N 0.000 0.000 0.000
```

## Properties
**Uncorrected formation energy**: -1.89 eV per atom
**Final energy**: -80.3 eV for the cell shown

Record 11
Computed, not measured: a geometry-optimized Tl2BiBr8 structure at the GGA-PBE level of DFT.

```
11
Lattice="-1.373 1.282 6.822 7.759 -2.165 3.491 3.940 7.800 0.850" Properties=species:S:1:pos:R:3 pbc="T T T"
Tl 2.087 1.601 3.023
Tl 8.238 5.315 8.139
Bi 0.000 0.000 0.000
Br 2.533 6.500 6.345
Br 5.369 6.738 3.142
Br 1.218 1.978 5.700
Br 9.107 4.938 5.462
Br 4.956 0.178 8.020
Br 7.792 0.416 4.818
Br 4.587 2.467 2.674
Br 5.738 4.449 8.489
```

## Properties
**Uncorrected formation energy**: -0.53 eV per atom
**Final energy**: -27.8 eV for the cell shown

Record 12
Computed, not measured: a geometry-optimized LaF structure at the GGA-PBE level of DFT.

```
16
Lattice="-6.318 -0.353 3.103 -1.665 -5.544 -4.021 3.014 -4.947 5.573" Properties=species:S:1:pos:R:3 pbc="T T T"
La -4.504 -2.254 1.884
La -2.725 -4.880 -1.409
La -0.793 -3.089 2.035
La 0.569 -6.043 4.472
La -3.278 -8.511 4.362
La -4.929 -6.518 1.227
La -0.671 -7.323 1.108
La -3.545 -4.758 4.939
F -0.390 -2.024 -0.137
F -6.839 -5.110 0.612
F -1.374 -5.023 0.632
F -0.515 -9.653 1.854
F -2.194 -4.901 6.980
F -4.348 -4.584 2.630
F -2.874 -7.446 2.191
F -1.341 -4.635 3.857
```

## Properties
**Uncorrected formation energy**: -2.53 eV per atom
**Final energy**: -94.9 eV for the cell shown
**Excess energy over the best structure of this formula in the dataset**: 81.6 meV/atom

Record 13
Computed, not measured: a geometry-optimized As3AuSe structure at the GGA-PBE level of DFT.

```
5
Lattice="-2.526 -4.348 0.181 3.236 -2.016 -3.284 2.910 -1.533 3.808" Properties=species:S:1:pos:R:3 pbc="T T T"
As 1.618 -1.008 -1.642
As 1.455 -0.766 1.904
As -1.263 -2.174 0.090
Au 0.000 0.000 0.000
Se 1.810 -3.948 0.352
```

## Properties
**Uncorrected formation energy**: 0.94 eV per atom
**Final energy**: -16.0 eV for the cell shown
**Excess energy over the best structure of this formula in the dataset**: 0.0 meV/atom

Record 14
Computed, not measured: a geometry-optimized Mn2PBr structure at the GGA-PBE level of DFT.

```
8
Lattice="-0.968 -3.734 -3.290 2.750 -3.195 2.817 -3.583 -4.808 2.606" Properties=species:S:1:pos:R:3 pbc="T T T"
P 0.891 -3.464 -0.236
P 0.029 -5.734 2.594
Mn -1.128 -3.821 -0.952
Mn 0.672 -3.780 1.900
Mn -1.935 -6.302 1.864
Mn -1.213 -9.571 1.455
Br 0.000 0.000 0.000
Br -1.830 -6.004 -0.460
```

## Properties
**Uncorrected formation energy**: 0.42 eV per atom
**Final energy**: -47.4 eV for the cell shown
**Excess energy over the best structure of this formula in the dataset**: 598.6 meV/atom

Record 15
Computed, not measured: a geometry-optimized Ac3GeO7 structure at the GGA-PBE level of DFT.

```
22
Lattice="-2.793 5.772 2.579 -4.835 -3.703 -3.268 -1.666 -3.862 6.841" Properties=species:S:1:pos:R:3 pbc="T T T"
Ac -4.640 -0.898 3.077
Ac -3.821 1.037 -0.345
Ac -6.720 -1.630 -0.200
Ac -2.574 -0.162 6.352
Ac -6.585 0.926 5.991
Ac -2.709 -2.719 0.163
Ge -0.837 -1.930 3.420
Ge -7.624 2.069 -0.688
O -7.380 -1.412 2.309
O -1.148 1.395 0.697
O -6.836 0.954 3.399
O -3.224 -4.523 5.900
O -2.467 -2.744 2.756
O -6.062 2.725 0.255
O -1.923 -0.379 3.840
O -8.136 -3.188 5.455
O -4.494 -1.154 0.611
O -4.800 -0.639 5.541
O -3.964 1.306 2.129
O -5.330 -3.099 4.023
O -3.308 4.347 4.005
O -5.985 -6.139 2.147
```

## Properties
**Uncorrected formation energy**: -2.67 eV per atom
**Final energy**: -162.1 eV for the cell shown

Record 16
Computed, not measured: a geometry-optimized ZnAsP2 structure at the GGA-PBE level of DFT.

```
4
Lattice="5.560 -0.038 -0.004 3.096 4.618 0.004 -4.257 -2.425 2.630" Properties=species:S:1:pos:R:3 pbc="T T T"
As 1.584 2.241 1.317
P 0.415 0.220 0.000
P 3.913 2.070 0.000
Zn 2.816 -0.087 1.313
```

## Properties
**Final energy**: -15.0 eV for the cell shown
**Excess energy over the best structure of this formula in the dataset**: 404.1 meV/atom

Taking the records one at a time from the top gives calculated density values of 4.25, 6.71, 4.91, 5.66, 13.56, 9.18, 9.41, 5.99, 5.49, 6.03, 4.01, 5.25, 6.53, 5.22, 7.97, 4.95 g/cm³.